Material: SnBi2Se2
Method: DFT, GGA-PBE
State: optimized geometry

Computed properties:
Formation energy from raw total energies in eV/atom: 0.145
Energy above the most stable polymorph in this dataset in eV per atom: 0.1871
Magnetization in μB per formula unit: 0.00

a b c (Å): 4.3140 4.3140 16.5494
angles (deg): 90.00 90.00 90.00
Closest atoms and distances in Å follow each position.
Space group I4/mmm (No. 139)
One atom of each set of equivalent atoms:
1 Sn 0.0000 0.0000 0.0000  8 Se 3.33
2 Bi 0.0000 0.5000 0.2500  4 Bi 3.05
3 Se 0.0000 0.0000 0.4200  1 Se 2.65